Entry 1:
An optimized crystal structure of Li2Ni3B3O9. Source: Alexandria via LeMat-Bulk, functional PBE with a Hubbard U.

Structure (extended XYZ):
```
34
Lattice="6.085 0.000 0.000 0.000 8.097 -0.003 0.000 4.030 7.025" Properties=species:S:1:pos:R:3 pbc="T T T"
Li 3.043 6.763 1.934
O 0.000 5.092 3.242
O 0.000 4.178 0.998
B 0.000 8.118 4.723
Li 0.000 2.326 0.178
Ni 4.562 9.064 6.947
O 0.000 2.746 2.910
Ni 1.524 9.064 6.947
B 3.043 8.096 4.652
O 1.531 4.051 5.606
O 4.554 4.051 5.606
Li 3.043 3.029 4.905
Ni 4.566 9.492 2.655
B 3.043 4.049 2.342
O 4.471 6.877 0.614
O 3.043 8.232 3.258
O 0.000 6.846 5.297
O 0.000 9.246 5.551
O 0.000 8.260 3.355
B 4.554 4.019 6.988
B 0.000 4.031 2.372
O 3.043 9.223 5.469
O 3.043 4.267 0.985
O 3.043 2.782 2.895
B 1.531 4.019 6.988
Li 0.000 3.043 4.911
Ni 1.519 9.492 2.655
O 3.043 5.164 3.173
O 3.043 6.835 5.206
O 1.614 6.877 0.614
Ni 4.568 5.681 4.441
O 4.654 1.129 0.715
Ni 1.517 5.681 4.441
O 1.432 1.129 0.715
```

## Properties
Calculated total energy: -6.26 eV/atom

Entry 2:
An optimized crystal structure of Li3NiB5O10. Source: Alexandria via LeMat-Bulk, functional PBE with a Hubbard U.

Structure (extended XYZ):
```
38
Lattice="-4.669 -3.110 -4.496 0.505 -7.070 -1.000 -7.141 -2.668 4.479" Properties=species:S:1:pos:R:3 pbc="T T T"
O -9.598 -7.680 0.401
B -9.677 -11.107 -0.534
O -2.932 -2.170 -0.253
B -5.515 -8.023 0.250
Li -3.274 -2.498 1.809
O -4.604 -8.892 -2.266
B -3.593 -8.319 -1.383
Li -2.923 -4.647 -0.011
B -5.963 -8.612 -2.109
O -10.440 -5.438 0.507
O -10.713 -10.286 -0.327
O -4.129 -8.146 0.012
O -0.866 -7.410 -1.523
B -7.713 -4.529 0.366
Ni -4.059 -6.057 -3.603
Li -4.627 -9.930 -4.048
Li -8.382 -8.201 -1.006
O -6.371 -8.040 -0.869
O -5.355 -4.901 -2.532
B -9.390 -6.390 0.612
Ni -7.246 -6.791 2.586
Li -6.679 -2.918 3.032
B -5.342 -4.236 1.093
O -3.181 -6.991 -1.908
B -5.791 -4.825 -1.267
O -4.934 -4.809 -0.148
Li -8.031 -10.351 -2.826
O -4.447 -3.949 2.035
O -7.176 -4.702 -1.029
O -6.858 -8.899 -3.052
O -0.592 -2.562 -0.690
O -5.950 -7.947 1.515
O -8.373 -10.678 -0.764
O -1.707 -5.168 -1.418
B -1.629 -1.741 -0.482
O -8.125 -5.857 0.891
B -1.916 -6.458 -1.628
O -6.701 -3.956 1.249
```

## Properties
Calculated total energy: -7.04 eV/atom

Entry 3:
An optimized crystal structure of Li4NiB2O6. Source: Alexandria via LeMat-Bulk, functional PBE with a Hubbard U.

Structure (extended XYZ):
```
26
Lattice="3.242 0.000 0.000 0.000 7.876 0.000 0.000 0.000 9.373" Properties=species:S:1:pos:R:3 pbc="T T T"
O 1.621 7.234 5.918
B 0.000 2.075 7.540
Li 0.000 7.875 6.650
Li 0.000 0.001 2.723
O 1.621 5.897 7.902
O 1.621 1.979 1.471
Ni 0.000 3.938 4.686
O 1.621 0.642 3.455
Li 0.000 5.265 8.813
B 1.621 1.863 2.854
Ni 1.621 0.000 0.000
O 0.000 5.917 3.216
B 0.000 5.801 1.833
Li 1.621 3.939 1.964
O 0.000 3.296 8.141
Li 0.000 2.611 0.559
O 0.000 1.959 6.157
O 0.000 4.580 1.231
O 0.000 6.978 1.021
Li 1.621 1.327 5.246
O 1.621 3.040 3.665
O 1.621 4.836 5.707
Li 1.621 6.549 4.127
B 1.621 6.013 6.519
O 0.000 0.898 8.352
Li 1.621 3.937 7.409
```

## Properties
Calculated total energy: -6.18 eV/atom

Entry 4:
An optimized crystal structure of Li2NiBO4. Source: Alexandria via LeMat-Bulk, functional PBE with a Hubbard U.

Structure (extended XYZ):
```
16
Lattice="-0.610 -4.398 -2.214 4.942 -0.386 -0.212 0.020 -2.765 5.486" Properties=species:S:1:pos:R:3 pbc="T T T"
Ni 0.438 -4.336 -0.467
O 2.890 -4.203 4.687
Li 3.880 -1.848 0.775
Ni 3.914 -3.214 3.526
O 3.527 -4.635 -0.294
O 1.471 -4.677 1.012
Li 2.942 -3.250 -1.648
O 3.340 -3.380 1.790
O 1.002 -2.839 -1.370
Li 1.399 -2.917 1.965
B 1.365 -1.507 -0.765
O 0.902 -1.469 0.641
Li 0.471 -5.701 2.285
B 2.977 -4.659 1.081
O 3.448 -5.811 1.884
O 0.827 -3.184 3.887
```

## Properties
Calculated total energy: -5.87 eV/atom